Record 1
DFT (PBE-GGA) results for a relaxed structure of KNaGaHg.

POSCAR file:
```
KNaGaHg
1.0
7.677 0.000 0.000
0.000 7.677 0.000
0.000 0.000 7.677
K Na Ga Hg
4 4 4 4
Cartesian
0.000 0.000 0.000 K
0.000 3.839 3.839 K
3.839 0.000 3.839 K
3.839 3.839 0.000 K
1.919 1.919 5.758 Na
1.919 5.758 1.919 Na
5.758 1.919 1.919 Na
5.758 5.758 5.758 Na
0.000 0.000 3.839 Ga
0.000 3.839 0.000 Ga
3.839 0.000 0.000 Ga
3.839 3.839 3.839 Ga
1.919 1.919 1.919 Hg
1.919 5.758 5.758 Hg
5.758 1.919 5.758 Hg
5.758 5.758 1.919 Hg
```

## Properties
* E: -1.464 eV/atom

***

Record 2
DFT (PBE-GGA) results for a relaxed structure of KGaHg2Pb.

POSCAR file:
```
KGaHg2Pb
1.0
5.417 0.000 0.000
0.000 5.417 0.000
0.000 0.000 5.680
K Ga Hg Pb
1 1 2 1
Cartesian
0.000 0.000 0.000 K
2.709 2.709 2.840 Ga
0.000 2.709 2.840 Hg
2.709 0.000 2.840 Hg
2.709 2.709 0.000 Pb
```

## Properties
* E: -1.680 eV/atom

***

Record 3
DFT (PBE-GGA) results for a relaxed structure of K2GaHg6Pb.

POSCAR file:
```
K2GaHg6Pb
1.0
6.346 0.000 0.000
3.000 6.951 0.000
3.087 0.617 7.545
K Ga Hg Pb
2 1 6 1
Cartesian
3.139 1.844 2.263 K
9.293 5.724 5.282 K
0.000 0.000 0.000 Ga
6.034 4.761 6.816 Hg
4.575 5.525 1.823 Hg
4.673 1.907 5.672 Hg
7.759 5.661 1.872 Hg
7.857 2.043 5.722 Hg
6.398 2.807 0.729 Hg
6.216 3.784 3.772 Pb
```

## Properties
* E: -1.175 eV/atom

***

Record 4
DFT (PBE-GGA) results for a relaxed structure of KGa2HgPd.

POSCAR file:
```
KGa2HgPd
1.0
4.922 0.000 0.000
0.000 4.922 0.000
0.000 0.000 5.438
K Ga Hg Pd
1 2 1 1
Cartesian
0.000 0.000 0.000 K
0.000 2.461 2.719 Ga
2.461 0.000 2.719 Ga
2.461 2.461 0.000 Hg
2.461 2.461 2.719 Pd
```

## Properties
* E: -2.724 eV/atom

***

Record 5
DFT (PBE-GGA) results for a relaxed structure of KGaHgPd2.

POSCAR file:
```
KGaHgPd2
1.0
4.823 0.000 0.000
0.000 4.823 0.000
0.000 0.000 5.546
K Ga Hg Pd
1 1 1 2
Cartesian
0.000 0.000 0.000 K
2.411 2.411 2.773 Ga
2.411 2.411 0.000 Hg
0.000 2.411 2.773 Pd
2.411 0.000 2.773 Pd
```

## Properties
* E: -2.997 eV/atom

***

Record 6
DFT (PBE-GGA) results for a relaxed structure of K2GaHgPt.

POSCAR file:
```
K2GaHgPt
1.0
6.261 0.000 0.000
0.000 6.261 0.000
0.000 0.000 4.812
K Ga Hg Pt
2 1 1 1
Cartesian
0.000 3.131 0.000 K
3.131 0.000 0.000 K
0.000 0.000 2.406 Ga
3.131 3.131 2.406 Hg
0.000 0.000 0.000 Pt
```

## Properties
* E: -2.493 eV/atom